## Mg2UNiO6 (GGA+U)

Data for a relaxed structure of Mg2UNiO6.

The calculation puts the final energy at -7.19 eV/atom. The crystal system is trigonal.

abc: 5.3239 5.3238 5.6800
angles: 62.05 62.06 60.00
Element x y z (fractional)
Mg (0.5244, 0.5243, 0.4269)
Mg (0.0201, 0.0203, 0.9393)
U (0.3177, 0.3177, 0.0469)
Ni (0.8168, 0.8167, 0.5498)
O (0.6092, 0.2158, 0.2556)
O (0.2160, 0.9194, 0.2555)
O (0.9194, 0.6092, 0.2555)
O (0.4173, 0.7112, 0.7620)
O (0.7111, 0.1096, 0.7618)
O (0.1095, 0.4175, 0.7619)



## MgUNiO6 (GGA+U)

Data for a relaxed structure of MgUNiO6.

The calculation puts the final energy at -7.06 eV/atom. The crystal system is trigonal.

abc: 5.1436 5.1436 9.1293
angles: 90.00 90.00 120.00
Element x y z (fractional)
Mg (0.0000, 0.0000, 0.0000)
Mg (0.0000, 0.0000, 0.5000)
U (0.6667, 0.3333, 0.2500)
U (0.3333, 0.6667, 0.7500)
Ni (0.3333, 0.6667, 0.2500)
Ni (0.6667, 0.3333, 0.7500)
O (0.6399, 0.6670, 0.1334)
O (0.0271, 0.3601, 0.1334)
O (0.3601, 0.0271, 0.6334)
O (0.9729, 0.6399, 0.8666)
O (0.3330, 0.3601, 0.3666)
O (0.0271, 0.6670, 0.3666)
O (0.6670, 0.0271, 0.8666)
O (0.6399, 0.9729, 0.3666)
O (0.9729, 0.3330, 0.6334)
O (0.3330, 0.9729, 0.1334)
O (0.6670, 0.6399, 0.6334)
O (0.3601, 0.3330, 0.8666)



## YMg6NiO8 (GGA+U)

Data for a relaxed structure of YMg6NiO8.

The calculation puts the final energy at -6.07 eV/atom. The crystal system is tetragonal.

abc: 4.4115 4.4115 8.8325
angles: 90.00 90.00 90.00
Element x y z (fractional)
Y (0.0000, 0.0000, 0.0000)
Mg (0.5000, 0.5000, 0.0000)
Mg (0.5000, 0.5000, 0.5000)
Mg (0.0000, 0.5000, 0.2734)
Mg (0.0000, 0.5000, 0.7266)
Mg (0.5000, 0.0000, 0.2734)
Mg (0.5000, 0.0000, 0.7266)
Ni (0.0000, 0.0000, 0.5000)
O (0.0000, 0.0000, 0.2514)
O (0.0000, 0.0000, 0.7486)
O (0.5000, 0.5000, 0.2486)
O (0.5000, 0.5000, 0.7514)
O (0.0000, 0.5000, 0.0000)
O (0.0000, 0.5000, 0.5000)
O (0.5000, 0.0000, 0.0000)
O (0.5000, 0.0000, 0.5000)



## Mg2ZnNiO (GGA+U)

Data for a relaxed structure of Mg2ZnNiO.

The calculation puts the final energy at -2.81 eV/atom. The crystal system is tetragonal.

abc: 3.9765 4.4580 3.9765
angles: 90.00 90.00 90.00
Element x y z (fractional)
Ni (0.5000, 0.5000, 0.5000)
Zn (0.0000, 0.5000, 0.0000)
Mg (0.0000, 0.0000, 0.5000)
Mg (0.5000, 0.0000, 0.0000)
O (0.0000, 0.0000, 0.0000)



## Mg2ZnNiO4 (GGA+U)

Data for a relaxed structure of Mg2ZnNiO4.

The calculation puts the final energy at -5.31 eV/atom. The crystal system is monoclinic.

abc: 3.0216 5.2034 5.2378
angles: 70.31 90.00 90.00
Element x y z (fractional)
Mg (0.0000, 0.0000, 0.0000)
Mg (0.5000, 0.0000, 0.5000)
Zn (0.5000, 0.5000, 0.0000)
Ni (0.0000, 0.5000, 0.5000)
O (0.0000, 0.7560, 0.7455)
O (0.0000, 0.2440, 0.2545)
O (0.5000, 0.7546, 0.2516)
O (0.5000, 0.2454, 0.7484)



## Mg30ZnNiO32 (GGA+U)

Data for a relaxed structure of Mg30ZnNiO32.

The calculation puts the final energy at -5.90 eV/atom. The crystal system is tetragonal.

abc: 8.5118 8.5118 8.5143
angles: 90.00 90.00 90.00
Element x y z (fractional)
Mg (0.0000, 0.5000, 0.0000)
Mg (0.0000, 0.5000, 0.5000)
Mg (0.5000, 0.0000, 0.0000)
Mg (0.5000, 0.0000, 0.5000)
Mg (0.5000, 0.5000, 0.0000)
Mg (0.5000, 0.5000, 0.5000)
Mg (0.0000, 0.2494, 0.2505)
Mg (0.0000, 0.2494, 0.7495)
Mg (0.0000, 0.7506, 0.2505)
Mg (0.0000, 0.7506, 0.7495)
Mg (0.5000, 0.2498, 0.2500)
Mg (0.5000, 0.2498, 0.7500)
Mg (0.5000, 0.7502, 0.2500)
Mg (0.5000, 0.7502, 0.7500)
Mg (0.2494, 0.0000, 0.2505)
Mg (0.2494, 0.0000, 0.7495)
Mg (0.2498, 0.5000, 0.2500)
Mg (0.2498, 0.5000, 0.7500)
Mg (0.7506, 0.0000, 0.2505)
Mg (0.7506, 0.0000, 0.7495)
Mg (0.7502, 0.5000, 0.2500)
Mg (0.7502, 0.5000, 0.7500)
Mg (0.2499, 0.2499, 0.0000)
Mg (0.2494, 0.2494, 0.5000)
Mg (0.2499, 0.7501, 0.0000)
Mg (0.2494, 0.7506, 0.5000)
Mg (0.7501, 0.2499, 0.0000)
Mg (0.7506, 0.2494, 0.5000)
Mg (0.7501, 0.7501, 0.0000)
Mg (0.7506, 0.7506, 0.5000)
Zn (0.0000, 0.0000, 0.0000)
Ni (0.0000, 0.0000, 0.5000)
O (0.2530, 0.0000, 0.0000)
O (0.2511, 0.0000, 0.5000)
O (0.2501, 0.5000, 0.0000)
O (0.2499, 0.5000, 0.5000)
O (0.7470, 0.0000, 0.0000)
O (0.7489, 0.0000, 0.5000)
O (0.7499, 0.5000, 0.0000)
O (0.7501, 0.5000, 0.5000)
O (0.2496, 0.2496, 0.2500)
O (0.2496, 0.2496, 0.7500)
O (0.2496, 0.7504, 0.2500)
O (0.2496, 0.7504, 0.7500)
O (0.7504, 0.2496, 0.2500)
O (0.7504, 0.2496, 0.7500)
O (0.7504, 0.7504, 0.2500)
O (0.7504, 0.7504, 0.7500)
O (0.0000, 0.0000, 0.2525)
O (0.0000, 0.0000, 0.7475)
O (0.0000, 0.5000, 0.2503)
O (0.0000, 0.5000, 0.7497)
O (0.5000, 0.0000, 0.2503)
O (0.5000, 0.0000, 0.7497)
O (0.5000, 0.5000, 0.2501)
O (0.5000, 0.5000, 0.7499)
O (0.0000, 0.2530, 0.0000)
O (0.0000, 0.2511, 0.5000)
O (0.0000, 0.7470, 0.0000)
O (0.0000, 0.7489, 0.5000)
O (0.5000, 0.2501, 0.0000)
O (0.5000, 0.2499, 0.5000)
O (0.5000, 0.7499, 0.0000)
O (0.5000, 0.7501, 0.5000)



Results for spin magnetization: 2.00; 0.00; 1.16; 0.00; 1.97; 2.00 (in μB/cell, following the order of the records).